A plane-wave DFT calculation with PBE+U was carried out for a relaxed structure of Li3Mg2WO6.

a = 5.219 Å, b = 9.177 Å, c = 5.185 Å
α = 90.00°, β = 108.94°, γ = 90.00°
Space group C2/m (No. 12)
Symmetry-distinct sites (fractional):
Li 0.000 0.000 0.000 (multiplicity 2)
Li 0.000 0.320 0.000 (multiplicity 4)
Mg 0.000 0.170 0.500 (multiplicity 4)
W 0.000 0.500 0.500 (multiplicity 2)
O 0.237 0.338 0.733 (multiplicity 8)
O 0.243 0.500 0.280 (multiplicity 4)

* total energy: -147.072 eV for the cell shown
* total magnetic moment: 1.00 μB per formula unit